# AlOs2Br PBE-GGA optimized geometry
# E_form (uncorrected), eV/atom: 0.819
# Energy relative to the lowest polymorph listed for this composition, kcal/mol of atoms: 12.87
# Electronic total energy, eV per atom: -6.150
data_AlOs2Br
_space_group_name_H-M_alt 'P m m m'
_space_group_IT_number 47
_cell_length_a 2.8545
_cell_length_b 4.4882
_cell_length_c 4.9315
_cell_angle_alpha 90.00
_cell_angle_beta 90.00
_cell_angle_gamma 90.00
loop_
_space_group_symop_operation_xyz
'x,y,z'
'-x,-y,-z'
'-x,-y,z'
'x,y,-z'
'x,-y,-z'
'-x,y,z'
'-x,y,-z'
'x,-y,z'
loop_
_atom_site_label
_atom_site_type_symbol
_atom_site_fract_x
_atom_site_fract_y
_atom_site_fract_z
Al1 Al 0.0000 0.0000 0.0000
Os1 Os 0.0000 0.5000 0.5000
Os2 Os 0.5000 0.5000 0.0000
Br1 Br 0.5000 0.0000 0.5000